Record 1
{"formula": "SmPbSe2O8", "functional": "PBE-GGA", "state": "relaxed", "sg": "P-3m1", "m_tot_mub_per_atom": 0.000, "energy_ev_per_cell": -70.1, "dos_ef_per_ev_atom": 0.22, "vol_a3_per_cell": 219.30, "cell": [[-1.1122, -5.7430, -0.2384], [1.4988, 2.4828, 5.0858], [-7.1222, 1.3188, 1.4551]], "species": ["O", "O", "O", "O", "O", "O", "O", "O", "Se", "Se", "Pb", "Sm"], "fractional_positions": [[0.6667, 0.3333, 0.9932], [0.8331, 0.6648, 0.2853], [0.3352, 0.1682, 0.2853], [0.8318, 0.1669, 0.2853], [0.1669, 0.3352, 0.7147], [0.1682, 0.8331, 0.7147], [0.6648, 0.8318, 0.7147], [0.3333, 0.6667, 0.0068], [0.3333, 0.6667, 0.7827], [0.6667, 0.3333, 0.2173], [0.0000, 0.0000, 0.0000], [0.0000, 0.0000, 0.5000]]}

=====

Record 2
{"formula": "AlPSCl2", "functional": "PBE-GGA", "state": "relaxed", "sg": "P4/mmm", "m_tot_mub_per_atom": 0.000, "e_above_lowest_polymorph_ev_per_atom": 0.037, "dos_ef_per_ev_atom": 0.20, "vol_a3_per_cell": 113.01, "cell": [[5.0040, 0.0000, 0.0000], [0.0000, 5.0040, 0.0000], [0.0000, 0.0000, 4.5134]], "species": ["S", "Cl", "Cl", "Al", "P"], "fractional_positions": [[0.0000, 0.0000, 0.5000], [0.0000, 0.5000, 0.0000], [0.5000, 0.0000, 0.0000], [0.5000, 0.5000, 0.5000], [0.0000, 0.0000, 0.0000]]}

=====

Record 3
{"formula": "Th6Si2As3P", "functional": "PBE-GGA", "state": "relaxed", "sg": "C2/m", "m_tot_mub_per_atom": 0.000, "energy_ev_per_cell": -88.9, "dos_ef_per_ev_atom": 0.46, "vol_a3_per_cell": 324.03, "cell": [[4.2347, 0.0000, 0.0000], [0.0000, 8.4928, 0.2867], [-2.1174, -2.4654, 8.9264]], "species": ["Si", "Si", "As", "As", "As", "P", "Th", "Th", "Th", "Th", "Th", "Th"], "fractional_positions": [[0.8341, 0.6682, 0.6683], [0.1659, 0.3318, 0.3317], [0.1666, 0.8336, 0.3332], [0.8334, 0.1664, 0.6668], [0.5000, 0.5000, 0.0000], [0.5000, 0.0000, 0.0000], [0.6684, 0.5793, 0.3368], [0.3357, 0.9135, 0.6713], [0.9984, 0.7562, 0.9969], [0.0016, 0.2438, 0.0031], [0.6643, 0.0865, 0.3287], [0.3316, 0.4207, 0.6632]]}

=====

Record 4
{"formula": "BeSnTeN2", "functional": "PBE-GGA", "state": "relaxed", "sg": "P4/mmm", "m_tot_mub_per_atom": 0.673, "e_above_lowest_polymorph_ev_per_atom": 0.000, "dos_ef_per_ev_atom": 0.60, "vol_a3_per_cell": 84.76, "cell": [[-0.5573, 3.2940, 2.3239], [-1.1278, -2.3798, 3.1026], [4.8674, -0.2756, 1.5579]], "species": ["Te", "N", "N", "Sn", "Be"], "fractional_positions": [[0.0000, 0.0000, 0.5000], [0.5000, 0.0000, 0.0000], [0.0000, 0.5000, 0.0000], [0.5000, 0.5000, 0.5000], [0.0000, 0.0000, 0.0000]]}

=====

Record 5
{"formula": "NaLi2Ag2", "functional": "PBE-GGA", "state": "relaxed", "sg": "C2/m", "m_tot_mub_per_atom": 0.000, "e_above_lowest_polymorph_ev_per_atom": 0.034, "dos_ef_per_ev_atom": 0.39, "vol_a3_per_cell": 93.48, "formation_enthalpy_0k_ev_per_atom": -0.098, "cell": [[-3.1483, 2.1206, -2.7949], [-2.9888, -2.5882, -2.5669], [-5.2174, -0.0854, 1.8885]], "species": ["Ag", "Ag", "Na", "Li", "Li"], "fractional_positions": [[0.2047, 0.7047, 0.3861], [0.7953, 0.2953, 0.6139], [0.0000, 0.5000, 0.0000], [0.4078, 0.9078, 0.7753], [0.5922, 0.0922, 0.2247]]}

=====

Record 6
{"formula": "Al2CoTcH", "functional": "PBE-GGA", "state": "relaxed", "sg": "P4/mmm", "m_tot_mub_per_atom": 0.139, "e_above_lowest_polymorph_ev_per_atom": 0.139, "dos_ef_per_ev_atom": 0.60, "vol_a3_per_cell": 56.26, "cell": [[-2.1609, 2.1240, 2.8022], [-3.3129, -0.1278, -2.4579], [-0.9430, -2.8303, 1.4182]], "species": ["Al", "Al", "H", "Tc", "Co"], "fractional_positions": [[0.0000, 0.5000, 0.0000], [0.5000, 0.0000, 0.0000], [0.0000, 0.0000, 0.0000], [0.0000, 0.0000, 0.5000], [0.5000, 0.5000, 0.5000]]}

=====

Record 7
{"formula": "HoOsO4", "functional": "PBE-GGA", "state": "relaxed", "sg": "P2_1/c", "m_tot_mub_per_atom": 0.312, "e_above_lowest_polymorph_ev_per_atom": 0.108, "dos_ef_per_ev_atom": 0.55, "vol_a3_per_cell": 144.15, "cell": [[5.2633, 0.0000, -0.3312], [0.0000, 5.1976, 0.0000], [-0.4111, 0.0000, 5.2952]], "species": ["O", "O", "O", "O", "O", "O", "O", "O", "Os", "Os", "Ho", "Ho"], "fractional_positions": [[0.2789, 0.3022, 0.3548], [0.8830, 0.6511, 0.1777], [0.6170, 0.1511, 0.8223], [0.3830, 0.8489, 0.1777], [0.2211, 0.8022, 0.6452], [0.7211, 0.6978, 0.6452], [0.1170, 0.3489, 0.8223], [0.7789, 0.1978, 0.3548], [0.0000, 0.5000, 0.5000], [0.5000, 0.0000, 0.5000], [0.5000, 0.5000, 0.0000], [0.0000, 0.0000, 0.0000]]}

=====

Record 8
{"formula": "Tl2Hg", "functional": "PBE-GGA", "state": "relaxed", "sg": "Fd-3m", "m_tot_mub_per_atom": 0.000, "e_above_lowest_polymorph_ev_per_atom": 0.122, "dos_ef_per_ev_atom": 0.47, "vol_a3_per_cell": 192.68, "formation_enthalpy_0k_ev_per_atom": 0.114, "cell": [[-3.4198, 5.4856, 0.4939], [-3.0546, 1.4281, 5.5372], [2.1565, 4.8390, 3.7369]], "species": ["Tl", "Tl", "Tl", "Tl", "Hg", "Hg"], "fractional_positions": [[0.6250, 0.6250, 0.1250], [0.1250, 0.6250, 0.6250], [0.6250, 0.1250, 0.6250], [0.6250, 0.6250, 0.6250], [0.2500, 0.2500, 0.2500], [0.0000, 0.0000, 0.0000]]}

=====

Record 9
{"formula": "LaSm5In2", "functional": "PBE-GGA", "state": "relaxed", "sg": "Immm", "m_tot_mub_per_atom": 0.000, "e_above_lowest_polymorph_ev_per_atom": 0.092, "dos_ef_per_ev_atom": 1.58, "vol_a3_per_cell": 256.39, "formation_enthalpy_0k_ev_per_atom": -0.182, "cell": [[-0.8926, 2.8776, 2.1531], [-4.0226, -3.7842, 6.5745], [6.1326, -0.2088, 6.0061]], "species": ["Sm", "Sm", "Sm", "Sm", "Sm", "In", "In", "La"], "fractional_positions": [[0.3622, 0.8604, 0.4151], [0.0000, 0.5000, 0.5000], [0.6378, 0.1396, 0.5849], [0.6378, 0.5849, 0.1396], [0.3622, 0.4151, 0.8604], [0.7356, 0.7644, 0.7644], [0.2644, 0.2356, 0.2356], [0.0000, 0.0000, 0.0000]]}

=====

Record 10
{"formula": "PuMnTl2S4", "functional": "PBE-GGA", "state": "relaxed", "sg": "C2/c", "m_tot_mub_per_atom": 0.000, "energy_ev_per_cell": -101.4, "dos_ef_per_ev_atom": 1.53, "vol_a3_per_cell": 386.28, "cell": [[8.1585, 0.0349, -0.1849], [0.0292, 8.1583, -0.1848], [-4.1167, -4.1193, 5.9896]], "species": ["S", "S", "S", "S", "S", "S", "S", "S", "Tl", "Tl", "Tl", "Tl", "Pu", "Pu", "Mn", "Mn"], "fractional_positions": [[0.2352, 0.2638, 0.4502], [0.1963, 0.7439, 0.9706], [0.7561, 0.3037, 0.5294], [0.8037, 0.2561, 0.0294], [0.2439, 0.6963, 0.4706], [0.7647, 0.7362, 0.5498], [0.7637, 0.7353, 0.9502], [0.2363, 0.2647, 0.0498], [0.0000, 0.0000, 0.5000], [0.5000, 0.0000, 0.0000], [0.5000, 0.0000, 0.5000], [0.5000, 0.5000, 0.0000], [0.0000, 0.5000, 0.5000], [0.0000, 0.5000, 0.0000], [0.5000, 0.5000, 0.5000], [0.0000, 0.0000, 0.0000]]}

=====

Record 11
{"formula": "Ce2Pm5Co4", "functional": "PBE-GGA", "state": "relaxed", "sg": "C2/m", "m_tot_mub_per_atom": 0.000, "dos_ef_per_ev_atom": 1.22, "vol_a3_per_cell": 281.09, "formation_enthalpy_0k_ev_per_atom": 0.067, "cell": [[-0.1934, 3.0330, 1.8943], [-3.7563, -3.4387, 5.1220], [9.8415, -3.6490, 3.4623]], "species": ["Co", "Co", "Co", "Co", "Pm", "Pm", "Pm", "Pm", "Pm", "Ce", "Ce"], "fractional_positions": [[0.9664, 0.7097, 0.9329], [0.6129, 0.4126, 0.2258], [0.3871, 0.5874, 0.7742], [0.0336, 0.2903, 0.0671], [0.7877, 0.3429, 0.5754], [0.5000, 0.0000, 0.0000], [0.8472, 0.8462, 0.6945], [0.1528, 0.1538, 0.3055], [0.2123, 0.6571, 0.4246], [0.0661, 0.6306, 0.1322], [0.9339, 0.3694, 0.8678]]}

=====

Record 12
{"formula": "Ag2TeI", "functional": "PBE-GGA", "state": "relaxed", "sg": "P1", "m_tot_mub_per_atom": 0.000, "e_above_lowest_polymorph_ev_per_atom": 0.082, "dos_ef_per_ev_atom": 0.70, "vol_a3_per_cell": 235.89, "cell": [[-1.5978, -0.8157, -3.9058], [-4.0973, -6.3888, 0.6198], [-6.1646, 3.9806, 1.6463]], "species": ["Ag", "Ag", "Ag", "Ag", "I", "I", "Te", "Te"], "fractional_positions": [[0.4305, 0.0927, 0.4592], [0.0751, 0.8010, 0.8959], [0.2610, 0.4365, 0.6760], [0.7321, 0.4935, 0.9757], [0.9872, 0.9807, 0.2246], [0.2511, 0.4508, 0.2191], [0.8918, 0.1723, 0.7158], [0.6283, 0.7024, 0.6565]]}

=====

Repeat the twelfth record exactly.
{"formula": "Ag2TeI", "functional": "PBE-GGA", "state": "relaxed", "sg": "P1", "m_tot_mub_per_atom": 0.000, "e_above_lowest_polymorph_ev_per_atom": 0.082, "dos_ef_per_ev_atom": 0.70, "vol_a3_per_cell": 235.89, "cell": [[-1.5978, -0.8157, -3.9058], [-4.0973, -6.3888, 0.6198], [-6.1646, 3.9806, 1.6463]], "species": ["Ag", "Ag", "Ag", "Ag", "I", "I", "Te", "Te"], "fractional_positions": [[0.4305, 0.0927, 0.4592], [0.0751, 0.8010, 0.8959], [0.2610, 0.4365, 0.6760], [0.7321, 0.4935, 0.9757], [0.9872, 0.9807, 0.2246], [0.2511, 0.4508, 0.2191], [0.8918, 0.1723, 0.7158], [0.6283, 0.7024, 0.6565]]}